An optimized crystal structure of CsMgAu, computed with PBE.

- crystal system = trigonal
- E above lowest polymorph (meV per atom) = 69.6
- total magnetic moment (Bohr magnetons per cell) = 0.00
- total energy (eV per cell) = -6.378
- energy of formation from the pure elements (eV per atom) = -0.22

abc: 4.7416 4.7416 5.7891
angles: 90.00 90.00 120.00
Last column: nearest neighbours and their distance in Å.
Positions (direct):
Cs: 0.0000 0.0000 0.0000  6 Au 3.98-3.99, 6 Mg 3.98
Mg: 0.6667 0.3333 0.4999  3 Au 2.74
Au: 0.3333 0.6667 0.4991  3 Mg 2.74